(1)
DFT (PBE) results for a relaxed structure of Ho2ZnSiPt6.

Values from the calculation:
Electronic total energy in eV per atom: -5.71
Space-group type: Fm-3m, No. 225
Crystal system: cubic
Fermi-level density of states in states/eV/f.u.: 4.6

Cell: 6.537 6.537 6.537 Å, 60.00 60.00 90.00°
Atoms (fractional coordinates):
Ho 0.250 0.750 0.500
Ho 0.750 0.250 0.500
Zn 0.500 0.500 0.000
Si 0.000 0.000 0.000
Pt 0.244 0.756 0.000
Pt 0.756 0.756 0.000
Pt 0.244 0.244 0.512
Pt 0.756 0.244 0.000
Pt 0.244 0.244 0.000
Pt 0.756 0.756 0.488

(2)
DFT (PBE) results for a relaxed structure of Ce2MgCo.

Values from the calculation:
Electronic total energy in eV per atom: -5.19
Space-group type: P4/mmm, No. 123
Formation energy from the elements in eV per atom: -0.05
Crystal system: tetragonal
Fermi-level density of states in states/eV/f.u.: 7.7

Cell: 3.524 3.524 7.359 Å, 90.00 90.00 90.00°
Atoms (fractional coordinates):
Mg 0.500 0.500 0.500
Co 0.500 0.500 0.000
Ce 0.000 0.000 0.808
Ce 0.000 0.000 0.192

(3)
DFT (PBE) results for a relaxed structure of PmAg2Pd.

Values from the calculation:
Electronic total energy in eV per atom: -4.32
Space-group type: Cmcm, No. 63
Formation energy from the elements in eV per atom: -0.41
Crystal system: orthorhombic
Fermi-level density of states in states/eV/f.u.: 2.3

Cell: 4.371 5.447 7.806 Å, 90.00 90.00 113.66°
Atoms (fractional coordinates):
Pm 0.071 0.142 0.250
Pm 0.929 0.858 0.750
Ag 0.366 0.730 0.057
Ag 0.366 0.730 0.443
Ag 0.634 0.270 0.943
Ag 0.634 0.270 0.557
Pd 0.779 0.556 0.250
Pd 0.221 0.444 0.750

(4)
DFT (PBE) results for a relaxed structure of NiAsWSe2.

Values from the calculation:
Electronic total energy in eV per atom: -5.21
Space-group type: P4/mmm, No. 123
Crystal system: tetragonal
Fermi-level density of states in states/eV/f.u.: 8.8

Cell: 4.875 4.875 4.947 Å, 90.00 90.00 90.00°
Site moments in Bohr magnetons follow the coordinates.
Atoms (fractional coordinates):
Ni 0.500 0.500 0.500  0.77
As 0.000 0.000 0.500  0.00
Se 0.000 0.500 0.000  0.04
Se 0.500 0.000 0.000  0.04
W 0.000 0.000 0.000  -0.10

(5)
DFT (PBE) results for a relaxed structure of Pm12Dy5Er.

Values from the calculation:
Electronic total energy in eV per atom: -4.59
Space-group type: C2/m, No. 12
Formation energy from the elements in eV per atom: 0.11
Crystal system: monoclinic
Fermi-level density of states in states/eV/f.u.: 36.9

Cell: 11.164 10.595 5.985 Å, 90.01 90.01 58.21°
Atoms (fractional coordinates):
Pm 0.840 0.000 0.493
Pm 0.160 0.000 0.507
Pm 0.660 0.000 0.993
Pm 0.340 0.000 0.007
Pm 0.328 0.670 0.993
Pm 0.002 0.670 0.007
Pm 0.998 0.330 0.993
Pm 0.672 0.330 0.007
Pm 0.497 0.331 0.508
Pm 0.828 0.669 0.508
Pm 0.172 0.331 0.492
Pm 0.503 0.669 0.492
Dy 0.500 0.000 0.500
Dy 0.168 0.664 0.500
Dy 0.832 0.336 0.500
Dy 0.668 0.663 0.000
Dy 0.332 0.337 0.000
Er 0.000 0.000 0.000

(6)
DFT (PBE) results for a relaxed structure of Er2TiIn.

Values from the calculation:
Electronic total energy in eV per atom: -5.05
Space-group type: P4/mmm, No. 123
Formation energy from the elements in eV per atom: -0.11
Crystal system: tetragonal
Fermi-level density of states in states/eV/f.u.: 4.5

Cell: 3.465 3.465 8.318 Å, 90.00 90.00 90.00°
Atoms (fractional coordinates):
In 0.500 0.500 0.500
Ti 0.500 0.500 0.000
Er 0.000 0.000 0.756
Er 0.000 0.000 0.244

(7)
DFT (PBE) results for a relaxed structure of TaCr2Se.

Values from the calculation:
Electronic total energy in eV per atom: -8.45
Space-group type: P4/mmm, No. 123
Crystal system: tetragonal
Fermi-level density of states in states/eV/f.u.: 2.3

Cell: 4.249 4.249 3.210 Å, 90.00 90.00 90.00°
Site moments in Bohr magnetons follow the coordinates.
Atoms (fractional coordinates):
Cr 0.000 0.000 0.000  1.29
Cr 0.500 0.500 0.000  1.29
Se 0.500 0.000 0.500  -0.02
Ta 0.000 0.500 0.500  -0.29

(8)
DFT (PBE) results for a relaxed structure of LaZn2Se.

Values from the calculation:
Electronic total energy in eV per atom: -3.45
Space-group type: P4/mmm, No. 123
Crystal system: tetragonal
Fermi-level density of states in states/eV/f.u.: 1.5

Cell: 4.239 4.241 5.170 Å, 90.00 90.00 90.00°
Atoms (fractional coordinates):
La 0.500 0.000 0.500
Se 0.000 0.500 0.500
Zn 0.000 0.000 0.000
Zn 0.500 0.500 0.000

(9)
DFT (PBE) results for a relaxed structure of LiReRh.

Values from the calculation:
Electronic total energy in eV per atom: -7.14
Space-group type: I4mm, No. 107
Formation energy from the elements in eV per atom: 0.10
Crystal system: tetragonal
Fermi-level density of states in states/eV/f.u.: 1.7

Cell: 5.194 5.194 5.194 Å, 147.92 147.92 46.00°
Atoms (fractional coordinates):
Li 0.007 0.007 0.000
Re 0.332 0.332 0.000
Rh 0.660 0.660 0.000

(10)
DFT (PBE) results for a relaxed structure of Cs2PuPdBr6.

Values from the calculation:
Electronic total energy in eV per atom: -4.48
Space-group type: P-3m1, No. 164
Crystal system: trigonal
Fermi-level density of states in states/eV/f.u.: 13.5

Cell: 6.604 7.983 7.983 Å, 120.00 90.00 90.00°
Site moments in Bohr magnetons follow the coordinates.
Atoms (fractional coordinates):
Cs 0.242 0.333 0.667  0.00
Cs 0.758 0.667 0.333  0.00
Pu 0.500 0.000 0.000  5.01
Pd 0.000 0.000 0.000  -0.62
Br 0.753 0.167 0.335  -0.07
Br 0.753 0.167 0.833  -0.07
Br 0.753 0.665 0.833  -0.07
Br 0.247 0.833 0.167  -0.07
Br 0.247 0.335 0.167  -0.07
Br 0.247 0.833 0.665  -0.07

(11)
DFT (PBE) results for a relaxed structure of PmH7Pt5.

Values from the calculation:
Electronic total energy in eV per atom: -4.69
Space-group type: Cm, No. 8
Crystal system: monoclinic
Fermi-level density of states in states/eV/f.u.: 2.8

Cell: 5.592 5.961 5.961 Å, 123.49 77.68 77.68°
Atoms (fractional coordinates):
Pm 0.205 0.984 0.984
H 0.320 0.511 0.511
H 0.467 0.488 0.488
H 0.963 0.330 0.521
H 0.963 0.521 0.330
H 0.691 0.048 0.048
H 0.310 0.803 0.406
H 0.310 0.406 0.803
Pt 0.504 0.014 0.535
Pt 0.967 0.066 0.568
Pt 0.504 0.535 0.014
Pt 0.967 0.568 0.066
Pt 0.829 0.725 0.725

Copy entry 10 word for word.
DFT (PBE) results for a relaxed structure of Cs2PuPdBr6.

Values from the calculation:
Electronic total energy in eV per atom: -4.48
Space-group type: P-3m1, No. 164
Crystal system: trigonal
Fermi-level density of states in states/eV/f.u.: 13.5

Cell: 6.604 7.983 7.983 Å, 120.00 90.00 90.00°
Site moments in Bohr magnetons follow the coordinates.
Atoms (fractional coordinates):
Cs 0.242 0.333 0.667  0.00
Cs 0.758 0.667 0.333  0.00
Pu 0.500 0.000 0.000  5.01
Pd 0.000 0.000 0.000  -0.62
Br 0.753 0.167 0.335  -0.07
Br 0.753 0.167 0.833  -0.07
Br 0.753 0.665 0.833  -0.07
Br 0.247 0.833 0.167  -0.07
Br 0.247 0.335 0.167  -0.07
Br 0.247 0.833 0.665  -0.07

Q: What is the electronic total energy in the eighth record?
A: -3.45 eV per atom

Repeat the ninth record exactly.
DFT (PBE) results for a relaxed structure of LiReRh.

Values from the calculation:
Electronic total energy in eV per atom: -7.14
Space-group type: I4mm, No. 107
Formation energy from the elements in eV per atom: 0.10
Crystal system: tetragonal
Fermi-level density of states in states/eV/f.u.: 1.7

Cell: 5.194 5.194 5.194 Å, 147.92 147.92 46.00°
Atoms (fractional coordinates):
Li 0.007 0.007 0.000
Re 0.332 0.332 0.000
Rh 0.660 0.660 0.000